The following is a DFT calculation (PBE) of a relaxed Pr2Er6Sc3 crystal.

**Formation energy from the elements**: 0.198 eV/atom
**Size of the total moment**: 0.0 μB/f.u.

```
11
Lattice="2.9847 -5.1757 0.0000 2.9847 5.1757 0.0000 -2.0089 0.0000 11.2528" Properties=species:S:1:pos:R:3 pbc="T T T"
Pr 2.9847 3.4502 0.0000
Pr 2.9847 -3.4502 0.0000
Er -0.0117 1.7268 8.2959
Er 0.9863 0.0000 2.9498
Er -0.0117 -1.7268 8.2959
Er 3.9721 1.7268 2.9569
Er 2.9741 0.0000 8.3030
Er 3.9721 -1.7268 2.9569
Sc -1.0045 0.0000 5.6264
Sc 1.9802 1.7124 5.6264
Sc 1.9802 -1.7124 5.6264
```

=====

The following is a DFT calculation (PBE) of a relaxed AlNiC2 crystal.

**Formation energy from the elements**: 0.794 eV/atom
**Size of the total moment**: 0.0 μB/f.u.

```
8
Lattice="-2.2536 2.2536 4.4212 2.2536 -2.2536 4.4212 2.2536 2.2536 -4.4212" Properties=species:S:1:pos:R:3 pbc="T T T"
Al 0.0000 0.0000 0.0000
Al 0.0000 2.2536 2.2106
Ni 2.2536 0.0000 2.2106
Ni 0.0000 0.0000 4.4212
C 1.1268 -0.9937 3.3159
C 1.2599 1.1268 1.1053
C 1.1268 3.2473 -1.1053
C 0.9937 1.1268 5.5265
```

=====

The following is a DFT calculation (PBE) of a relaxed La2Tb6PrSm3 crystal.

**Formation energy from the elements**: 0.014 eV/atom
**Size of the total moment**: 0.0 μB/f.u.

```
12
Lattice="3.1447 -5.4484 0.0000 3.1447 5.4484 0.0000 -2.0935 0.0000 11.7437" Properties=species:S:1:pos:R:3 pbc="T T T"
La 3.1447 3.6330 0.0000
La 3.1447 -3.6330 0.0000
Tb 0.0016 1.8142 8.7725
Tb 1.0535 0.0000 2.9710
Tb 0.0016 -1.8142 8.7725
Tb 4.1943 1.8142 2.9712
Tb 3.1424 0.0000 8.7727
Tb 4.1943 -1.8142 2.9712
Pr 3.1447 0.0000 0.0000
Sm -1.0467 0.0000 5.8718
Sm 2.0979 1.8146 5.8718
Sm 2.0979 -1.8146 5.8718
```

=====

The following is a DFT calculation (PBE) of a relaxed Sm4GaSb crystal.

**E_form (uncorrected)**: -41.3 kJ/mol of atoms
**Size of the total moment**: 0.0 μB/f.u.

```
12
Lattice="2.8292 -10.4317 0.0000 2.8292 10.4317 0.0000 0.0000 0.0000 6.3218" Properties=species:S:1:pos:R:3 pbc="T T T"
Sm 2.8292 9.2097 4.7414
Sm 2.8292 6.0989 0.0065
Sm 2.8292 6.0989 3.1544
Sm 2.8292 2.3550 4.7414
Sm 2.8292 -2.3550 1.5805
Sm 2.8292 -6.0989 3.1674
Sm 2.8292 -6.0989 6.3153
Sm 2.8292 -9.2097 1.5805
Ga 2.8292 8.7727 1.5805
Ga 2.8292 -8.7727 4.7414
Sb 2.8292 3.1373 1.5805
Sb 2.8292 -3.1373 4.7414
```